Compound: Ho6ReO12
Source: Alexandria
Functional: PBE
Structure: optimized geometry

Cell lengths 6.450, 6.450, 6.450 Å; angles 98.73, 98.73, 98.73 degrees
Atoms (fractional coordinates):
Ho  0.110  0.816  0.644
Ho  0.184  0.356  0.890
Ho  0.356  0.890  0.184
Ho  0.644  0.110  0.816
Ho  0.816  0.644  0.110
Ho  0.890  0.184  0.356
Re  0.500  0.500  0.500
O  0.068  0.910  0.323
O  0.090  0.677  0.932
O  0.204  0.424  0.537
O  0.323  0.068  0.910
O  0.424  0.537  0.204
O  0.463  0.796  0.576
O  0.537  0.204  0.424
O  0.576  0.463  0.796
O  0.677  0.932  0.090
O  0.796  0.576  0.463
O  0.910  0.323  0.068
O  0.932  0.090  0.677

Calculated values
Theoretical density: 8.81 g cm⁻³
V: 257.9 Å³ per cell
Spin magnetization: 0.053 μB per atom
Calculated total energy: -0.310 hartree per atom

Compound: Ho12Re3O5
Source: Alexandria
Functional: PBE
Structure: optimized geometry

Cell lengths 13.072, 13.072, 13.072 Å; angles 109.47, 109.47, 109.47 degrees
Atoms (fractional coordinates):
Ho  0.024  0.207  0.122
Ho  0.024  0.317  0.902
Ho  0.085  0.707  0.683
Ho  0.085  0.878  0.402
Ho  0.098  0.622  0.415
Ho  0.098  0.976  0.683
Ho  0.122  0.024  0.207
Ho  0.122  0.598  0.915
Ho  0.183  0.207  0.585
Ho  0.183  0.476  0.598
Ho  0.207  0.122  0.024
Ho  0.207  0.585  0.183
Ho  0.293  0.317  0.915
Ho  0.293  0.476  0.378
Ho  0.317  0.902  0.024
Ho  0.317  0.915  0.293
Ho  0.378  0.293  0.476
Ho  0.378  0.585  0.902
Ho  0.402  0.085  0.878
Ho  0.402  0.817  0.524
Ho  0.415  0.098  0.622
Ho  0.415  0.817  0.793
Ho  0.476  0.378  0.293
Ho  0.476  0.598  0.183
Ho  0.524  0.402  0.817
Ho  0.524  0.622  0.707
Ho  0.585  0.183  0.207
Ho  0.585  0.902  0.378
Ho  0.598  0.183  0.476
Ho  0.598  0.915  0.122
Ho  0.622  0.415  0.098
Ho  0.622  0.707  0.524
Ho  0.683  0.085  0.707
Ho  0.683  0.098  0.976
Ho  0.707  0.524  0.622
Ho  0.707  0.683  0.085
Ho  0.793  0.415  0.817
Ho  0.793  0.878  0.976
Ho  0.817  0.524  0.402
Ho  0.817  0.793  0.415
Ho  0.878  0.402  0.085
Ho  0.878  0.976  0.793
Ho  0.902  0.024  0.317
Ho  0.902  0.378  0.585
Ho  0.915  0.122  0.598
Ho  0.915  0.293  0.317
Ho  0.976  0.683  0.098
Ho  0.976  0.793  0.878
Re  0.125  0.250  0.375
Re  0.125  0.375  0.750
Re  0.250  0.375  0.125
Re  0.250  0.875  0.625
Re  0.375  0.125  0.250
Re  0.375  0.750  0.125
Re  0.625  0.250  0.875
Re  0.625  0.875  0.750
Re  0.750  0.125  0.375
Re  0.750  0.625  0.875
Re  0.875  0.625  0.250
Re  0.875  0.750  0.625
O  0.000  0.000  0.000
O  0.000  0.000  0.500
O  0.000  0.500  0.000
O  0.000  0.500  0.500
O  0.125  0.750  0.875
O  0.125  0.875  0.250
O  0.250  0.125  0.875
O  0.250  0.625  0.375
O  0.375  0.250  0.625
O  0.375  0.625  0.750
O  0.500  0.000  0.000
O  0.500  0.000  0.500
O  0.500  0.500  0.000
O  0.500  0.500  0.500
O  0.625  0.375  0.250
O  0.625  0.750  0.375
O  0.750  0.375  0.625
O  0.750  0.875  0.125
O  0.875  0.125  0.750
O  0.875  0.250  0.125

Calculated values
Theoretical density: 10.11 g cm⁻³
V: 1719.6 Å³ per cell
Spin magnetization: 0.000 μB per atom
Calculated total energy: -0.266 hartree per atom

Number 1: formation energy from raw total energies -3.203 eV/atom. Number 2: formation energy from raw total energies -1.383 eV/atom.